No. 1
Below is an optimized crystal structure of Nd4SnSb3, with properties calculated at the PBE level.

Structure (POSCAR):
```
Nd4SnSb3
1.0
6.3981 0.0000 0.0000
0.0000 6.3981 0.0000
0.0000 0.0000 6.3981
Nd Sn Sb
4 1 3
Cartesian
0.0000 0.0000 0.0000
0.0000 3.1991 3.1991
3.1991 0.0000 3.1991
3.1991 3.1991 0.0000
3.1991 3.1991 3.1991
0.0000 0.0000 3.1991
0.0000 3.1991 0.0000
3.1991 0.0000 0.0000
```

Output
* E_form (uncorrected): -1027 meV per atom
* SG: Pm-3m (221)
* total magnetic moment: 0.000 μB per cell



No. 2
Below is an optimized crystal structure of Nd8Sn5Sb, with properties calculated at the PBE level.

Structure (POSCAR):
```
Nd8Sn5Sb
1.0
-4.7974 4.7974 4.7951
4.7974 -4.7974 4.7951
4.7974 4.7974 -4.7951
Nd Sn Sb
8 5 1
Cartesian
4.1256 3.0683 -2.9311
4.1181 1.7301 0.5265
3.0673 -0.6793 4.2686
0.6718 1.7291 1.8639
1.7301 5.4767 -0.5265
1.7291 -0.6718 7.7262
0.6793 3.0673 5.3216
3.0683 5.4693 2.9311
2.4038 -1.2015 1.2019
5.9989 -2.3936 3.5931
7.1910 1.2015 1.2019
3.5959 2.3936 3.5931
0.0000 4.7974 2.3975
0.0000 0.0000 4.7951
```

Output
* E_form (uncorrected): -801 meV per atom
* SG: I-4 (82)
* total magnetic moment: 0.000 μB per cell



No. 3
Below is an optimized crystal structure of Nd2SnSb3, with properties calculated at the PBE level.

Structure (POSCAR):
```
Nd2SnSb3
1.0
-2.2046 3.2143 6.9229
2.2046 -3.2143 6.9229
2.2046 3.2143 -6.9229
Nd Sn Sb
2 1 3
Cartesian
0.0000 0.0000 2.2962
0.0000 0.0000 11.5496
0.0000 0.0000 6.9229
2.2046 0.0000 0.0000
2.2046 0.0000 4.6086
0.0000 3.2143 2.3143
```

Output
* E_form (uncorrected): -655 meV per atom
* SG: Immm (71)
* total magnetic moment: 0.000 μB per cell



No. 4
Below is an optimized crystal structure of Nd4Sn2Sb, with properties calculated at the PBE level.

Structure (POSCAR):
```
Nd4Sn2Sb
1.0
-4.7921 4.7921 4.7794
4.7921 -4.7921 4.7794
4.7921 4.7921 -4.7794
Nd Sn Sb
8 4 2
Cartesian
3.0634 4.1111 -2.9144
5.4730 1.7287 -0.5247
1.7287 0.6810 1.8650
1.7287 4.1111 0.5247
5.4730 3.0634 2.9144
3.0634 0.6810 5.3042
-0.6810 3.0634 4.2547
-0.6810 1.7287 7.6939
2.3960 1.2019 -1.1949
3.5901 -2.3960 5.9743
2.3960 3.5901 3.5846
1.2019 7.1881 1.1949
4.7921 0.0000 2.3897
0.0000 0.0000 4.7794
```

Output
* E_form (uncorrected): -854 meV per atom
* SG: I-42d (122)
* total magnetic moment: 0.001 μB per cell